1.
Compound: CaSiAu2
Source: the Alexandria database
Functional: GGA-PBE
Structure: optimized geometry

Calculated values
E: -3.83 eV/atom
Size of the total moment: 0.000 μB per atom
Formation energy (no corrections): -0.333 eV/atom

The structure in CIF format:
```
data_CaSiAu2
_chemical_formula_sum 'Ca1 Si1 Au2'
_symmetry_space_group_name_H-M 'P 1'
_symmetry_Int_Tables_number 1
_cell_length_a 4.820
_cell_length_b 4.820
_cell_length_c 4.820
_cell_angle_alpha 60.00
_cell_angle_beta 60.00
_cell_angle_gamma 60.00
loop_
_symmetry_equiv_pos_as_xyz
'x,y,z'
loop_
_atom_site_label
_atom_site_type_symbol
_atom_site_fract_x
_atom_site_fract_y
_atom_site_fract_z
_atom_site_occupancy
Ca1 Ca 0.500 0.500 0.500 1
Au1 Au 0.250 0.250 0.250 1
Au2 Au 0.750 0.750 0.750 1
Si1 Si 0.000 0.000 0.000 1
```

***

2.
Compound: PrSm2Co2
Source: the Alexandria database
Functional: GGA-PBE
Structure: optimized geometry

Calculated values
Energy of formation from the pure elements: 0.022 eV/atom
E: -5.66 eV/atom
Size of the total moment: 0.000 μB per atom

The structure in CIF format:
```
data_PrSm2Co2
_chemical_formula_sum 'Pr1 Sm2 Co2'
_symmetry_space_group_name_H-M 'P 1'
_symmetry_Int_Tables_number 1
_cell_length_a 3.809
_cell_length_b 5.676
_cell_length_c 6.112
_cell_angle_alpha 104.05
_cell_angle_beta 108.16
_cell_angle_gamma 90.00
loop_
_symmetry_equiv_pos_as_xyz
'x,y,z'
loop_
_atom_site_label
_atom_site_type_symbol
_atom_site_fract_x
_atom_site_fract_y
_atom_site_fract_z
_atom_site_occupancy
Pr1 Pr 0.000 0.000 0.000 1
Sm1 Sm 0.352 0.416 0.704 1
Sm2 Sm 0.648 0.584 0.296 1
Co1 Co 0.725 0.102 0.451 1
Co2 Co 0.275 0.898 0.549 1
```

***

Mass density: 9.7 7.7 (g/cm3)